8
Lattice="7.394 0.000 0.000 0.000 7.394 0.000 3.697 3.697 3.047" Properties=species:S:1:pos:R:3 comment="NiPb2W (PBE-GGA, relaxed)" e_above_lowest_polymorph_mev_per_atom=751 ef_ev_per_atom=1.150 total_magnetization_mub_per_atom=0.000 spacegroup="I-42d, No. 122" pbc="T T T"
W 0.000 0.000 0.000
W 7.394 3.697 1.524
Ni 3.697 7.394 1.524
Ni 3.697 3.697 0.000
Pb 9.243 9.001 2.286
Pb 2.090 5.546 0.762
Pb 5.546 5.787 2.286
Pb 5.304 1.849 0.762



4
Lattice="4.072 0.000 0.000 0.000 2.545 -0.003 0.000 1.023 4.753" Properties=species:S:1:pos:R:3 comment="Mn2FeTc (PBE-GGA, relaxed)" ef_ev_per_atom=0.130 total_magnetization_mub_per_atom=1.338 spacegroup="Pm, No. 6" pbc="T T T"
Fe 2.036 2.705 3.616
Tc 0.000 1.789 2.365
Mn 2.036 0.882 1.159
Mn 0.000 3.543 4.736



5
Lattice="5.643 0.000 0.000 0.000 5.643 0.000 0.000 0.000 6.146" Properties=species:S:1:pos:R:3 comment="SrCaLa2Ir (PBE-GGA, relaxed)" e_above_lowest_polymorph_mev_per_atom=41 ef_ev_per_atom=-0.301 total_magnetization_mub_per_atom=0.000 spacegroup="P4/mmm, No. 123" pbc="T T T"
Ir 0.000 0.000 0.000
Ca 2.822 2.822 3.073
La 0.000 2.822 0.000
La 2.822 0.000 0.000
Sr 0.000 0.000 3.073



10
Lattice="5.927 0.003 -0.001 0.003 5.926 -0.001 2.964 2.964 4.233" Properties=species:S:1:pos:R:3 comment="Cs2BeSnH6 (PBE-GGA, relaxed)" dft_energy_ev_per_atom=-2.84 total_magnetization_mub_per_atom=0.000 spacegroup="Fmmm, No. 69" pbc="T T T"
Cs 5.927 2.966 2.115
Cs 2.966 5.927 2.115
Be 2.965 2.965 -0.001
H 1.749 1.749 -0.001
H 4.180 1.749 -0.001
H 1.749 4.180 -0.001
H 2.966 2.966 1.736
H 5.928 5.928 2.494
H 7.144 7.145 4.231
Sn 0.000 0.000 0.000



5
Lattice="3.811 0.000 0.000 0.000 3.811 0.000 0.000 0.000 4.704" Properties=species:S:1:pos:R:3 comment="AuCIO2 (PBE-GGA, relaxed)" raw_formation_energy_ev_per_fu=7.0 e_above_lowest_polymorph_mev_per_atom=0 total_magnetization_mub_per_atom=0.000 spacegroup="P4/mmm, No. 123" pbc="T T T"
C 0.000 0.000 0.000
Au 1.905 1.905 2.352
O 1.905 0.000 0.000
O 0.000 1.905 0.000
I 0.000 0.000 2.352



4
Lattice="-2.249 2.781 4.057 -2.666 -2.609 3.916 2.105 -0.293 4.973" Properties=species:S:1:pos:R:3 comment="AcPmInNi (PBE-GGA, relaxed)" ef_ev_per_atom=-0.169 total_magnetization_mub_per_atom=0.000 spacegroup="F-43m, No. 216" pbc="T T T"
Ni -0.703 -0.030 3.237
Pm 0.000 0.000 0.000
In -2.108 -0.091 9.710
Ac -1.405 -0.060 6.473



4
Lattice="-2.777 1.971 0.413 -1.271 0.537 3.141 2.076 5.542 1.766" Properties=species:S:1:pos:R:3 comment="SmDyO2 (PBE-GGA, relaxed)" raw_formation_energy_ev_per_fu=-11.3 e_above_lowest_polymorph_mev_per_atom=0 total_magnetization_mub_per_atom=0.000 spacegroup="R-3m, No. 166" pbc="T T T"
Sm -0.986 4.025 2.660
O -0.630 1.824 1.307
O -1.342 6.225 4.013
Dy 0.000 0.000 0.000



3
Lattice="4.782 0.000 0.000 0.000 4.782 0.000 -2.391 -2.391 3.473" Properties=species:S:1:pos:R:3 comment="CsCuO (PBE-GGA, relaxed)" raw_formation_energy_ev_per_fu=-0.6 total_magnetization_mub_per_atom=0.000 spacegroup="I4mm, No. 107" pbc="T T T"
Cs 2.391 2.391 3.118
Cu 0.000 0.000 2.260
O 2.391 2.391 0.525



16
Lattice="8.335 0.000 0.000 0.000 8.335 0.000 0.000 0.000 3.391" Properties=species:S:1:pos:R:3 comment="ZnO (PBE-GGA, relaxed)" raw_formation_energy_ev_per_fu=-2.7 total_magnetization_mub_per_atom=0.000 spacegroup="I4/m, No. 87" pbc="T T T"
O 2.401 0.968 1.696
O 5.136 1.766 0.000
O 6.568 5.136 0.000
O 7.366 2.401 1.696
O 5.934 7.366 1.696
O 0.968 5.934 1.696
O 3.199 6.568 0.000
O 1.766 3.199 0.000
Zn 3.208 1.747 0.000
Zn 5.127 6.588 0.000
Zn 2.421 7.375 1.696
Zn 7.375 5.914 1.696
Zn 0.959 2.421 1.696
Zn 1.747 5.127 0.000
Zn 6.588 3.208 0.000
Zn 5.914 0.959 1.696



16
Lattice="-7.778 -2.092 -0.388 -0.204 -0.705 8.030 2.873 6.987 -3.736" Properties=species:S:1:pos:R:3 comment="YGaAg2Se4 (PBE-GGA, relaxed)" raw_formation_energy_ev_per_fu=-5.6 total_magnetization_mub_per_atom=0.000 spacegroup="Imma, No. 74" pbc="T T T"
Ga -7.778 -2.092 -0.388
Ga -2.554 2.095 1.954
Se -2.896 5.251 -1.910
Se -4.543 1.719 -0.277
Se -2.214 -1.062 5.817
Se -4.424 1.668 3.733
Se -0.685 2.521 0.174
Se -1.896 -0.431 1.750
Se -3.213 4.620 2.157
Se -0.567 2.470 4.184
Y -0.102 -0.353 4.015
Y -6.444 1.048 1.759
Ag -1.118 5.588 0.086
Ag -3.889 -1.046 -0.194
Ag 1.436 3.493 -1.868
Ag -2.656 1.742 5.969



4
Lattice="-3.055 1.542 0.381 -2.903 -1.819 -0.352 -1.855 -1.999 8.785" Properties=species:S:1:pos:R:3 comment="NaTcSb2 (PBE-GGA, relaxed)" raw_formation_energy_ev_per_fu=-0.2 e_above_lowest_polymorph_mev_per_atom=98 total_magnetization_mub_per_atom=0.000 spacegroup="R-3m, No. 166" pbc="T T T"
Na -3.907 -1.138 4.407
Sb -5.854 -1.788 6.982
Sb -1.959 -0.488 1.831
Tc 0.000 0.000 0.000



Copy entry 6 word for word.
4
Lattice="-2.249 2.781 4.057 -2.666 -2.609 3.916 2.105 -0.293 4.973" Properties=species:S:1:pos:R:3 comment="AcPmInNi (PBE-GGA, relaxed)" ef_ev_per_atom=-0.169 total_magnetization_mub_per_atom=0.000 spacegroup="F-43m, No. 216" pbc="T T T"
Ni -0.703 -0.030 3.237
Pm 0.000 0.000 0.000
In -2.108 -0.091 9.710
Ac -1.405 -0.060 6.473